12
Lattice="3.1715 -5.4946 0.0000 3.1715 5.4946 0.0000 -2.1320 0.0000 11.9495" Properties=species:S:1:pos:R:3 comment="PBE Pm6PrNd3Sm2, optimized geometry" formation_enthalpy_0k_mev_per_atom=13 dos_ef_per_ev_fu=18.32 magmom_total_mub_per_fu=0.000 pbc="T T T"
Pm -0.0163 1.8346 8.9697
Pm 1.0507 0.0000 2.9795
Pm -0.0163 -1.8346 8.9697
Pm 4.2273 1.8346 2.9798
Pm 3.1604 0.0000 8.9700
Pm 4.2273 -1.8346 2.9798
Pr 3.1715 0.0000 0.0000
Nd -1.0660 0.0000 5.9747
Nd 2.1055 1.8330 5.9747
Nd 2.1055 -1.8330 5.9747
Sm 3.1715 3.6642 0.0000
Sm 3.1715 -3.6642 0.0000

=====

20
Lattice="4.6344 -7.7077 0.0000 4.6344 7.7077 0.0000 -1.6676 0.0000 9.9358" Properties=species:S:1:pos:R:3 comment="PBE PmPr2Nd6Sm, optimized geometry" formation_enthalpy_0k_mev_per_atom=112 dos_ef_per_ev_fu=15.77 magmom_total_mub_per_fu=0.000 pbc="T T T"
Pm 3.3837 6.2531 7.4519
Pm 4.2175 -6.2531 2.4840
Pr 0.8187 0.7663 9.5221
Pr 1.6525 -0.7663 4.5542
Pr 5.9487 0.7663 5.3816
Pr 6.7825 -0.7663 0.4137
Nd 3.0681 6.1261 3.7685
Nd 2.4452 3.4243 1.8682
Nd 5.3669 6.1261 1.1994
Nd 3.0706 2.8814 5.5212
Nd 3.6967 2.8814 9.3826
Nd 5.9898 3.4243 3.0997
Nd 1.6114 -3.4243 6.8362
Nd 3.9044 -2.8814 0.5532
Nd 4.5305 -2.8814 4.4147
Nd 2.2343 -6.1261 8.7365
Nd 5.1560 -3.4243 8.0676
Nd 4.5331 -6.1261 6.1673
Sm 4.2175 0.2565 2.4840
Sm 3.3837 -0.2565 7.4519